Below is an optimized crystal structure of LiGaH, with properties calculated at the PBE level.

a = 2.714 Å, b = 2.728 Å, c = 19.826 Å
α = 90.00°, β = 90.21°, γ = 90.00°
Atoms (fractional coordinates):
Li 0.248 0.000 0.698
Li 0.752 0.000 0.302
Li 0.248 0.500 0.198
Li 0.752 0.500 0.802
Ga 0.746 0.000 0.063
Ga 0.254 0.000 0.937
Ga 0.746 0.500 0.563
Ga 0.254 0.500 0.437
H 0.748 0.000 0.200
H 0.252 0.000 0.800
H 0.748 0.500 0.700
H 0.252 0.500 0.300

Properties
Calculated total energy = -2.956 eV per atom
Symmetry = No. 12
Magnetization = 0.0 μB per formula unit

=====

Below is an optimized crystal structure of LiGaH, with properties calculated at the PBE level.

a = 2.949 Å, b = 4.876 Å, c = 5.461 Å
α = 98.94°, β = 90.06°, γ = 107.58°
Atoms (fractional coordinates):
Li 0.500 0.000 0.500
Li 0.000 0.000 0.000
Ga 0.759 0.524 0.254
Ga 0.241 0.476 0.746
H 0.576 0.153 0.203
H 0.424 0.847 0.797

Properties
Calculated total energy = -2.946 eV per atom
Symmetry = No. 2
Magnetization = 0.0 μB per formula unit

=====

Q: Look up the calculated total energy of the first one.
A: -2.956 eV per atom

=====

Q: Which value of calculated total energy does entry 2 give?
A: -2.946 eV per atom

=====

Q: magnetization of number 1 (LiGaH)?
A: 0.0 μB per formula unit